No. 1
Compound: CrF6
Source: Alexandria via LeMat-Bulk
Functional: SCAN
Structure: PBEsol geometry

* formation energy without anion corrections: -2.057 eV/atom
* size of the total moment: 0.5 μB per cell
* density of states at the Fermi level: 0.0 states/eV/f.u.

```
data_CrF6
_cell_length_a 4.9351
_cell_length_b 4.9351
_cell_length_c 13.3557
_cell_angle_alpha 90.00
_cell_angle_beta 90.00
_cell_angle_gamma 120.00
_space_group_name_H-M_alt 'R -3'
_space_group_IT_number 148
_space_group_name_Hall '-R 3'
loop_
_atom_site_label
_atom_site_fract_x
_atom_site_fract_y
_atom_site_fract_z
Cr1 0.0000 0.0000 0.0000
F1 0.0039 0.2891 0.0750
```

No. 2
Compound: CrF2
Source: Alexandria via LeMat-Bulk
Functional: SCAN
Structure: PBEsol geometry

* formation energy without anion corrections: -2.713 eV/atom
* size of the total moment: 8.0 μB per cell
* density of states at the Fermi level: 0.0 states/eV/f.u.

```
data_CrF2
_cell_length_a 3.541
_cell_length_b 4.634
_cell_length_c 5.472
_cell_angle_alpha 90.00
_cell_angle_beta 121.20
_cell_angle_gamma 90.00
_space_group_name_H-M_alt 'P 1 21/c 1'
_space_group_IT_number 14
loop_
_space_group_symop_operation_xyz
'x,y,z'
'-x,-y,-z'
'-x,y+1/2,-z+1/2'
'x,-y+1/2,z+1/2'
loop_
_atom_site_label
_atom_site_fract_x
_atom_site_fract_y
_atom_site_fract_z
Cr1 0.000 0.000 0.000
F1 0.247 0.195 0.792
```

No. 3
Compound: NbCrFeF2
Source: Alexandria via LeMat-Bulk
Functional: SCAN
Structure: PBEsol geometry

* formation energy without anion corrections: -0.725 eV/atom
* size of the total moment: 2.3 μB per cell
* density of states at the Fermi level: 2.4 states/eV/f.u.

```
data_NbCrFeF2
_cell_length_a 3.626
_cell_length_b 3.626
_cell_length_c 5.524
_cell_angle_alpha 90.00
_cell_angle_beta 90.00
_cell_angle_gamma 90.00
_space_group_name_H-M_alt 'P 4/m m m'
_space_group_IT_number 123
_space_group_name_Hall '-P 4 2'
loop_
_atom_site_label
_atom_site_fract_x
_atom_site_fract_y
_atom_site_fract_z
Nb1 0.000 0.000 0.000
Cr1 0.500 0.500 0.500
Fe1 0.500 0.500 0.000
F1 0.000 0.500 0.500
```

E / eV per cell: -162.069 -67.205 -80.349